The following is a DFT calculation (PBE) of an optimized crystal structure of PmGdLuSn.

Lattice parameters (Å, degrees): 5.4495 5.4495 5.4495 60.00 60.00 60.00
Fractional positions:
Pm  0.0000  0.0000  0.0000
Gd  0.5000  0.5000  0.5000
Lu  0.7500  0.7500  0.7500
Sn  0.2500  0.2500  0.2500

Properties
Energy relative to the elements, eV/atom: -0.27
Space-group type: F-43m (216)
Calculated volume, Å³/f.u.: 114.4
Density, g/cm3: 8.65
Energy, eV for the cell shown: -28.424